A relaxed SrCo2Cl crystal, computed with PBE-GGA.

Lattice parameters (Å, degrees): 3.570 5.890 4.438 90.00 90.41 90.00
Positions (direct):
Sr 0.000 0.000 0.000
Co 0.252 0.500 0.154
Co 0.748 0.500 0.846
Cl 0.500 0.000 0.500

Formation energy from raw total energies in kJ/mol of formula units: 3
Symmetry: P2/m, No. 10
E above lowest polymorph in kJ/mol of formula units: 74.8
DOS at the Fermi energy in states/eV/atom: 0.69

A relaxed Cs3Nd2NpS6 crystal, computed with PBE-GGA.

Lattice parameters (Å, degrees): 7.323 7.323 8.445 98.30 98.30 119.99
Positions (direct):
Cs 0.000 0.000 0.000
Cs 0.331 0.669 0.000
Cs 0.669 0.331 0.000
Nd 0.166 0.834 0.500
Nd 0.834 0.166 0.500
Np 0.500 0.500 0.500
S 0.111 0.438 0.315
S 0.235 0.235 0.686
S 0.438 0.111 0.315
S 0.562 0.889 0.685
S 0.765 0.765 0.314
S 0.889 0.562 0.685

Formation energy from raw total energies in kJ/mol of formula units: -1901
Symmetry: C2/m, No. 12
DOS at the Fermi energy in states/eV/atom: 0.68

A relaxed Er3Zr2UN6 crystal, computed with PBE-GGA.

Lattice parameters (Å, degrees): 5.818 5.818 5.833 99.44 99.44 120.09
Positions (direct):
Er 0.000 0.000 0.000
Er 0.330 0.670 0.000
Er 0.670 0.330 0.000
Zr 0.167 0.833 0.500
Zr 0.833 0.167 0.500
U 0.500 0.500 0.500
N 0.094 0.421 0.263
N 0.253 0.253 0.733
N 0.421 0.094 0.263
N 0.579 0.906 0.737
N 0.747 0.747 0.267
N 0.906 0.579 0.737

Formation energy from raw total energies in kJ/mol of formula units: -1984
Symmetry: C2/m, No. 12
DOS at the Fermi energy in states/eV/atom: 0.36

A relaxed Rb3U2TiSe6 crystal, computed with PBE-GGA.

Lattice parameters (Å, degrees): 7.142 7.142 8.404 98.16 98.16 120.01
Positions (direct):
Rb 0.000 0.000 0.000
Rb 0.331 0.669 0.000
Rb 0.669 0.331 0.000
U 0.166 0.834 0.500
U 0.834 0.166 0.500
Ti 0.500 0.500 0.500
Se 0.118 0.436 0.307
Se 0.247 0.247 0.694
Se 0.436 0.118 0.307
Se 0.564 0.882 0.693
Se 0.753 0.753 0.306
Se 0.882 0.564 0.693

Formation energy from raw total energies in kJ/mol of formula units: -1380
Symmetry: C2/m, No. 12
DOS at the Fermi energy in states/eV/atom: 0.93

A relaxed Pa3Al5S12 crystal, computed with PBE-GGA.

Lattice parameters (Å, degrees): 12.958 12.958 12.958 109.47 109.47 109.47
Positions (direct):
Pa 0.125 0.250 0.375
Pa 0.125 0.375 0.750
Pa 0.250 0.375 0.125
Pa 0.250 0.875 0.625
Pa 0.375 0.125 0.250
Pa 0.375 0.750 0.125
Pa 0.625 0.250 0.875
Pa 0.625 0.875 0.750
Pa 0.750 0.125 0.375
Pa 0.750 0.625 0.875
Pa 0.875 0.625 0.250
Pa 0.875 0.750 0.625
Al 0.000 0.000 0.000
Al 0.000 0.000 0.500
Al 0.000 0.500 0.000
Al 0.000 0.500 0.500
Al 0.125 0.750 0.875
Al 0.125 0.875 0.250
Al 0.250 0.125 0.875
Al 0.250 0.625 0.375
Al 0.375 0.250 0.625
Al 0.375 0.625 0.750
Al 0.500 0.000 0.000
Al 0.500 0.000 0.500
Al 0.500 0.500 0.000
Al 0.500 0.500 0.500
Al 0.625 0.375 0.250
Al 0.625 0.750 0.375
Al 0.750 0.375 0.625
Al 0.750 0.875 0.125
Al 0.875 0.125 0.750
Al 0.875 0.250 0.125
S 0.030 0.208 0.121
S 0.030 0.322 0.909
S 0.087 0.708 0.678
S 0.087 0.879 0.409
S 0.091 0.621 0.413
S 0.091 0.970 0.678
S 0.121 0.030 0.208
S 0.121 0.591 0.913
S 0.178 0.208 0.587
S 0.178 0.470 0.591
S 0.208 0.121 0.030
S 0.208 0.587 0.178
S 0.292 0.322 0.913
S 0.292 0.470 0.379
S 0.322 0.909 0.030
S 0.322 0.913 0.292
S 0.379 0.292 0.470
S 0.379 0.587 0.909
S 0.409 0.087 0.879
S 0.409 0.822 0.530
S 0.413 0.091 0.621
S 0.413 0.822 0.792
S 0.470 0.379 0.292
S 0.470 0.591 0.178
S 0.530 0.409 0.822
S 0.530 0.621 0.708
S 0.587 0.178 0.208
S 0.587 0.909 0.379
S 0.591 0.178 0.470
S 0.591 0.913 0.121
S 0.621 0.413 0.091
S 0.621 0.708 0.530
S 0.678 0.087 0.708
S 0.678 0.091 0.970
S 0.708 0.530 0.621
S 0.708 0.678 0.087
S 0.792 0.413 0.822
S 0.792 0.879 0.970
S 0.822 0.530 0.409
S 0.822 0.792 0.413
S 0.879 0.409 0.087
S 0.879 0.970 0.792
S 0.909 0.030 0.322
S 0.909 0.379 0.587
S 0.913 0.121 0.591
S 0.913 0.292 0.322
S 0.970 0.678 0.091
S 0.970 0.792 0.879

Formation energy from raw total energies in kJ/mol of formula units: -2313
Symmetry: Ia-3d, No. 230
DOS at the Fermi energy in states/eV/atom: 0.90

A relaxed PrSm5Tl3 crystal, computed with PBE-GGA.

Lattice parameters (Å, degrees): 9.489 9.489 9.489 124.78 124.78 81.90
Positions (direct):
Pr 0.250 0.750 0.500
Pr 0.750 0.250 0.500
Sm 0.000 0.000 0.000
Sm 0.070 0.570 0.908
Sm 0.161 0.070 0.500
Sm 0.339 0.839 0.908
Sm 0.430 0.339 0.500
Sm 0.500 0.500 0.000
Sm 0.570 0.661 0.500
Sm 0.661 0.161 0.092
Sm 0.839 0.930 0.500
Sm 0.930 0.430 0.092
Tl 0.113 0.387 0.500
Tl 0.250 0.250 0.000
Tl 0.387 0.887 0.274
Tl 0.613 0.113 0.726
Tl 0.750 0.750 0.000
Tl 0.887 0.613 0.500

ΔH_f (0 K) in kJ/mol of formula units: -34.3
Symmetry: I4/mcm, No. 140
E above lowest polymorph in kJ/mol of formula units: 196.2
DOS at the Fermi energy in states/eV/atom: 0.97

A relaxed In2TcIr crystal, computed with PBE-GGA.

Lattice parameters (Å, degrees): 2.931 2.931 8.707 90.00 90.00 90.00
Positions (direct):
In 0.000 0.000 0.000
In 0.500 0.500 0.331
Tc 0.500 0.500 0.761
Ir 0.000 0.000 0.573

ΔH_f (0 K) in kJ/mol of formula units: 34.0
Symmetry: P4mm, No. 99
E above lowest polymorph in kJ/mol of formula units: 23.1
DOS at the Fermi energy in states/eV/atom: 0.53

A relaxed Sc5AlRh crystal, computed with PBE-GGA.

Lattice parameters (Å, degrees): 5.272 5.272 11.238 100.24 100.24 84.36
Positions (direct):
Sc 0.018 0.982 0.750
Sc 0.081 0.428 0.624
Sc 0.201 0.512 0.921
Sc 0.428 0.081 0.124
Sc 0.488 0.799 0.579
Sc 0.512 0.201 0.421
Sc 0.572 0.919 0.876
Sc 0.799 0.488 0.079
Sc 0.919 0.572 0.376
Sc 0.982 0.018 0.250
Al 0.383 0.617 0.250
Al 0.617 0.383 0.750
Rh 0.000 0.000 0.000
Rh 0.000 0.000 0.500

ΔH_f (0 K) in kJ/mol of formula units: -187.8
Symmetry: C2/c, No. 15
DOS at the Fermi energy in states/eV/atom: 1.34

A relaxed PmSm2TmSe6 crystal, computed with PBE-GGA.

Lattice parameters (Å, degrees): 7.790 7.790 7.790 56.10 56.10 56.10
Positions (direct):
Pm 0.000 0.000 0.000
Sm 0.298 0.298 0.298
Sm 0.800 0.800 0.800
Tm 0.496 0.496 0.496
Se 0.105 0.699 0.400
Se 0.214 0.600 0.885
Se 0.400 0.105 0.699
Se 0.600 0.885 0.214
Se 0.699 0.400 0.105
Se 0.885 0.214 0.600

Formation energy from raw total energies in kJ/mol of formula units: -1775
Symmetry: R3, No. 146
DOS at the Fermi energy in states/eV/atom: 0.00

A relaxed Tm6Mn2Tl crystal, computed with PBE-GGA.

Lattice parameters (Å, degrees): 8.326 8.326 8.326 110.90 110.08 107.45
Positions (direct):
Tm 0.013 0.232 0.781
Tm 0.191 0.287 0.478
Tm 0.191 0.713 0.904
Tm 0.313 0.019 0.706
Tm 0.313 0.607 0.294
Tm 0.451 0.232 0.219
Tm 0.549 0.768 0.781
Tm 0.687 0.393 0.706
Tm 0.687 0.981 0.294
Tm 0.809 0.287 0.096
Tm 0.809 0.713 0.522
Tm 0.987 0.768 0.219
Mn 0.106 0.606 0.500
Mn 0.386 0.000 0.386
Mn 0.614 0.000 0.614
Mn 0.894 0.394 0.500
Tl 0.000 0.000 0.000
Tl 0.500 0.500 0.000

ΔH_f (0 K) in kJ/mol of formula units: -68.4
Symmetry: Immm, No. 71
DOS at the Fermi energy in states/eV/atom: 0.99

A relaxed CsPm2Tl2O6 crystal, computed with PBE-GGA.

Lattice parameters (Å, degrees): 6.248 6.632 6.642 63.47 72.85 72.91
Positions (direct):
Cs 0.000 0.000 0.000
Pm 0.044 0.325 0.325
Pm 0.956 0.675 0.675
Tl 0.500 0.266 0.735
Tl 0.500 0.734 0.265
O 0.200 0.935 0.406
O 0.202 0.410 0.934
O 0.256 0.456 0.458
O 0.744 0.544 0.542
O 0.798 0.590 0.066
O 0.800 0.065 0.594

Formation energy from raw total energies in kJ/mol of formula units: -1965
Symmetry: P-1, No. 2
DOS at the Fermi energy in states/eV/atom: 0.18

A relaxed PdPtPbO4 crystal, computed with PBE-GGA.

Lattice parameters (Å, degrees): 7.071 7.071 7.071 130.13 127.78 75.10
Positions (direct):
Pd 0.000 0.000 0.000
Pd 0.500 0.000 0.500
Pt 0.500 0.000 0.000
Pt 0.500 0.500 0.500
Pb 0.094 0.344 0.750
Pb 0.906 0.656 0.250
O 0.231 0.200 0.469
O 0.231 0.762 0.031
O 0.238 0.189 0.050
O 0.361 0.811 0.550
O 0.639 0.189 0.450
O 0.762 0.811 0.950
O 0.769 0.238 0.969
O 0.769 0.800 0.531

Formation energy from raw total energies in kJ/mol of formula units: -340
Symmetry: Imma, No. 74
DOS at the Fermi energy in states/eV/atom: 0.13